A relaxed structure of VMo2IrN. Source: the Alexandria database, functional PBE.

Calculated values
raw formation energy = -0.37 eV/atom
SG = P4/mmm (123)
density of states at the Fermi level = 5.382 states/eV/f.u.

a = 4.0858 Å, b = 4.0858 Å, c = 3.9530 Å
α = 90.00°, β = 90.00°, γ = 90.00°
With the nearest neighbours (Å) after each atom.
Element x y z (fractional)
Ir 0.5000 0.5000 0.5000  8 Mo 2.84, 4 V 2.89
N 0.0000 0.0000 0.0000  2 V 1.98, 4 Mo 2.04
V 0.0000 0.0000 0.5000  2 N 1.98
Mo 0.0000 0.5000 0.0000  2 N 2.04
Mo 0.5000 0.0000 0.0000  2 N 2.04

***

A relaxed structure of Mo2IrWN. Source: the Alexandria database, functional PBE.

Calculated values
raw formation energy = -0.17 eV/atom
SG = P4/mmm (123)
density of states at the Fermi level = 4.521 states/eV/f.u.

a = 4.0963 Å, b = 4.0963 Å, c = 4.1012 Å
α = 90.00°, β = 90.00°, γ = 90.00°
With the nearest neighbours (Å) after each atom.
Element x y z (fractional)
Mo 0.5000 0.0000 0.0000  2 N 2.05
Mo 0.0000 0.5000 0.0000  2 N 2.05
Ir 0.5000 0.5000 0.5000  4 W 2.90, 8 Mo 2.90
N 0.0000 0.0000 0.0000  4 Mo 2.05, 2 W 2.05
W 0.0000 0.0000 0.5000  2 N 2.05

***

A relaxed structure of MoIrW2N. Source: the Alexandria database, functional PBE.

Calculated values
raw formation energy = -0.12 eV/atom
SG = P4/mmm (123)
density of states at the Fermi level = 4.343 states/eV/f.u.

a = 4.1030 Å, b = 4.1030 Å, c = 4.0983 Å
α = 90.00°, β = 90.00°, γ = 90.00°
With the nearest neighbours (Å) after each atom.
Element x y z (fractional)
Ir 0.5000 0.5000 0.5000  8 W 2.90, 4 Mo 2.90
N 0.0000 0.0000 0.0000  2 Mo 2.05, 4 W 2.05
W 0.0000 0.5000 0.0000  2 N 2.05
W 0.5000 0.0000 0.0000  2 N 2.05
Mo 0.0000 0.0000 0.5000  2 N 2.05

***

A relaxed structure of NaMo3Ir. Source: the Alexandria database, functional PBE.

Calculated values
SG = Pm-3m (221)
offset from the most stable computed form = 1.000 eV/atom
density of states at the Fermi level = 6.367 states/eV/f.u.

a = 4.4134 Å, b = 4.4134 Å, c = 4.4134 Å
α = 90.00°, β = 90.00°, γ = 90.00°
With the nearest neighbours (Å) after each atom.
Element x y z (fractional)
Mo 0.0000 0.0000 0.5000  2 Na 2.21
Mo 0.5000 0.0000 0.0000  2 Na 2.21
Mo 0.0000 0.5000 0.0000  2 Na 2.21
Ir 0.5000 0.5000 0.5000  12 Mo 3.12
Na 0.0000 0.0000 0.0000  6 Mo 2.21

***

A relaxed structure of NaMo2Ir. Source: the Alexandria database, functional PBE.

Calculated values
SG = I-42d (122)
offset from the most stable computed form = 0.154 eV/atom
density of states at the Fermi level = 1.769 states/eV/f.u.

a = 7.4543 Å, b = 7.4543 Å, c = 5.9058 Å
α = 50.87°, β = 50.87°, γ = 90.00°
With the nearest neighbours (Å) after each atom.
Element x y z (fractional)
Mo 0.8750 0.9224 0.7500  2 Ir 2.49, 2 Mo 2.76
Mo 0.0776 0.6250 0.2500  2 Ir 2.49, 2 Mo 2.76
Mo 0.6724 0.1250 0.2500  2 Ir 2.49, 2 Mo 2.76
Mo 0.3750 0.3276 0.7500  2 Ir 2.49, 2 Mo 2.76
Na 0.5000 0.5000 0.0000  2 Ir 2.66, 4 Mo 2.97
Na 0.2500 0.7500 0.5000  2 Ir 2.66, 4 Mo 2.97
Ir 0.7500 0.2500 0.5000  4 Mo 2.49, 2 Na 2.66
Ir 0.0000 0.0000 0.0000  4 Mo 2.49, 2 Na 2.66

***

A relaxed structure of NaMo2Ir2. Source: the Alexandria database, functional PBE.

Calculated values
SG = P4/mbm (127)
offset from the most stable computed form = 0.035 eV/atom
density of states at the Fermi level = 3.193 states/eV/f.u.

a = 7.8368 Å, b = 7.8368 Å, c = 2.7637 Å
α = 90.00°, β = 90.00°, γ = 90.00°
With the nearest neighbours (Å) after each atom.
Element x y z (fractional)
Mo 0.6618 0.8382 0.5000  6 Ir 2.67-2.70, 2 Mo 2.76
Mo 0.1618 0.6618 0.5000  6 Ir 2.67-2.70, 2 Mo 2.76
Mo 0.8382 0.3382 0.5000  6 Ir 2.67-2.70, 2 Mo 2.76
Mo 0.3382 0.1618 0.5000  6 Ir 2.67-2.70, 2 Mo 2.76
Na 0.0000 0.0000 0.0000  2 Na 2.76, 4 Ir 3.08
Na 0.5000 0.5000 0.0000  2 Na 2.76, 4 Ir 3.08
Ir 0.8715 0.6285 0.0000  6 Mo 2.67-2.70, 3 Ir 2.76-2.85
Ir 0.1285 0.3715 0.0000  6 Mo 2.67-2.70, 3 Ir 2.76-2.85
Ir 0.6285 0.1285 0.0000  6 Mo 2.67-2.70, 3 Ir 2.76-2.85
Ir 0.3715 0.8715 0.0000  6 Mo 2.67-2.70, 3 Ir 2.76-2.85

***

A relaxed structure of Na2MoIr. Source: the Alexandria database, functional PBE.

Calculated values
SG = Fm-3m (225)
offset from the most stable computed form = 0.184 eV/atom
density of states at the Fermi level = 3.671 states/eV/f.u.

a = 4.7280 Å, b = 4.7280 Å, c = 4.7280 Å
α = 60.00°, β = 60.00°, γ = 60.00°
With the nearest neighbours (Å) after each atom.
Element x y z (fractional)
Na 0.2500 0.2500 0.2500  4 Mo 2.90, 4 Ir 2.90
Na 0.7500 0.7500 0.7500  4 Mo 2.90, 4 Ir 2.90
Ir 0.5000 0.5000 0.5000  8 Na 2.90
Mo 0.0000 0.0000 0.0000  8 Na 2.90

***

A relaxed structure of NaMo2Ir2. Source: the Alexandria database, functional PBE.

Calculated values
SG = P4/mbm (127)
offset from the most stable computed form = 0.000 eV/atom
density of states at the Fermi level = 3.603 states/eV/f.u.

a = 7.8912 Å, b = 7.8912 Å, c = 2.7380 Å
α = 90.00°, β = 90.00°, γ = 90.00°
With the nearest neighbours (Å) after each atom.
Element x y z (fractional)
Ir 0.6690 0.8310 0.5000  6 Mo 2.68-2.74, 2 Ir 2.74
Ir 0.1690 0.6690 0.5000  6 Mo 2.68-2.74, 2 Ir 2.74
Ir 0.3310 0.1690 0.5000  6 Mo 2.68-2.74, 2 Ir 2.74
Ir 0.8310 0.3310 0.5000  6 Mo 2.68-2.74, 2 Ir 2.74
Mo 0.1187 0.3813 0.0000  3 Mo 2.65-2.74, 6 Ir 2.68-2.74
Mo 0.6187 0.1187 0.0000  3 Mo 2.65-2.74, 6 Ir 2.68-2.74
Mo 0.8813 0.6187 0.0000  3 Mo 2.65-2.74, 6 Ir 2.68-2.74
Mo 0.3813 0.8813 0.0000  3 Mo 2.65-2.74, 6 Ir 2.68-2.74
Na 0.5000 0.5000 0.0000  2 Na 2.74
Na 0.0000 0.0000 0.0000  2 Na 2.74

***

A relaxed structure of Na2MoIr. Source: the Alexandria database, functional PBE.

Calculated values
SG = I-42d (122)
offset from the most stable computed form = 0.000 eV/atom
density of states at the Fermi level = 3.218 states/eV/f.u.

a = 9.7395 Å, b = 9.7395 Å, c = 7.2862 Å
α = 48.06°, β = 48.06°, γ = 90.00°
With the nearest neighbours (Å) after each atom.
Element x y z (fractional)
Na 0.7340 0.1250 0.2500  2 Ir 2.86, 2 Na 3.19
Na 0.3750 0.2660 0.7500  2 Ir 2.86, 2 Na 3.19
Na 0.8750 0.9840 0.7500  2 Ir 2.86, 2 Na 3.19
Na 0.0160 0.6250 0.2500  2 Ir 2.86, 2 Na 3.19
Mo 0.5000 0.5000 0.0000  2 Ir 2.38
Mo 0.2500 0.7500 0.5000  2 Ir 2.38
Ir 0.0000 0.0000 0.0000  2 Mo 2.38
Ir 0.7500 0.2500 0.5000  2 Mo 2.38

***

A relaxed structure of NaMo2Ir. Source: the Alexandria database, functional PBE.

Calculated values
SG = Fm-3m (225)
offset from the most stable computed form = 0.000 eV/atom
density of states at the Fermi level = 5.525 states/eV/f.u.

a = 4.4705 Å, b = 4.4705 Å, c = 4.4705 Å
α = 60.00°, β = 60.00°, γ = 60.00°
With the nearest neighbours (Å) after each atom.
Element x y z (fractional)
Mo 0.2500 0.2500 0.2500  4 Ir 2.74, 4 Na 2.74
Mo 0.7500 0.7500 0.7500  4 Ir 2.74, 4 Na 2.74
Ir 0.5000 0.5000 0.5000  8 Mo 2.74
Na 0.0000 0.0000 0.0000  8 Mo 2.74

***

A relaxed structure of NaMoIr2. Source: the Alexandria database, functional PBE.

Calculated values
SG = I-42d (122)
offset from the most stable computed form = 0.278 eV/atom
density of states at the Fermi level = 3.564 states/eV/f.u.

a = 7.2627 Å, b = 7.2627 Å, c = 5.8331 Å
α = 51.50°, β = 51.50°, γ = 90.00°
With the nearest neighbours (Å) after each atom.
Element x y z (fractional)
Ir 0.6714 0.1250 0.2500  2 Mo 2.44
Ir 0.8750 0.9214 0.7500  2 Mo 2.44
Ir 0.3750 0.3286 0.7500  2 Mo 2.44
Ir 0.0786 0.6250 0.2500  2 Mo 2.44
Mo 0.0000 0.0000 0.0000  4 Ir 2.44
Mo 0.7500 0.2500 0.5000  4 Ir 2.44
Na 0.2500 0.7500 0.5000  2 Mo 2.77, 4 Ir 2.90
Na 0.5000 0.5000 0.0000  2 Mo 2.77, 4 Ir 2.90

***

A relaxed structure of NaMo3Ir. Source: the Alexandria database, functional PBE.

Calculated values
SG = Pm-3m (221)
offset from the most stable computed form = 0.000 eV/atom
density of states at the Fermi level = 6.249 states/eV/f.u.

a = 4.8381 Å, b = 4.8381 Å, c = 4.8381 Å
α = 90.00°, β = 90.00°, γ = 90.00°
With the nearest neighbours (Å) after each atom.
Element x y z (fractional)
Ir 0.0000 0.0000 0.0000  6 Mo 2.42
Mo 0.0000 0.5000 0.0000  2 Ir 2.42
Mo 0.5000 0.0000 0.0000  2 Ir 2.42
Mo 0.0000 0.0000 0.5000  2 Ir 2.42
Na 0.5000 0.5000 0.5000  12 Mo 3.42

***

A relaxed structure of Na2Mo2Ir. Source: the Alexandria database, functional PBE.

Calculated values
SG = P4/mbm (127)
offset from the most stable computed form = 0.000 eV/atom
density of states at the Fermi level = 4.603 states/eV/f.u.

a = 6.3145 Å, b = 6.3145 Å, c = 5.4717 Å
α = 90.00°, β = 90.00°, γ = 90.00°
With the nearest neighbours (Å) after each atom.
Element x y z (fractional)
Na 0.6832 0.8168 0.5000  6 Mo 3.21-3.39, 5 Na 3.27, 4 Ir 3.58
Na 0.1832 0.6832 0.5000  6 Mo 3.21-3.39, 5 Na 3.27, 4 Ir 3.58
Na 0.3168 0.1832 0.5000  6 Mo 3.21-3.39, 5 Na 3.27, 4 Ir 3.58
Na 0.8168 0.3168 0.5000  6 Mo 3.21-3.39, 5 Na 3.27, 4 Ir 3.58
Ir 0.5000 0.5000 0.0000  4 Mo 2.49
Ir 0.0000 0.0000 0.0000  4 Mo 2.49
Mo 0.1278 0.3722 0.0000  1 Mo 2.28, 2 Ir 2.49
Mo 0.6278 0.1278 0.0000  1 Mo 2.28, 2 Ir 2.49
Mo 0.8722 0.6278 0.0000  1 Mo 2.28, 2 Ir 2.49
Mo 0.3722 0.8722 0.0000  1 Mo 2.28, 2 Ir 2.49

***

A relaxed structure of Na2Mo2Ir. Source: the Alexandria database, functional PBE.

Calculated values
SG = I4/mmm (139)
offset from the most stable computed form = 0.254 eV/atom
density of states at the Fermi level = 5.701 states/eV/f.u.

a = 3.5416 Å, b = 3.5416 Å, c = 8.2199 Å
α = 77.56°, β = 77.56°, γ = 90.00°
With the nearest neighbours (Å) after each atom.
Element x y z (fractional)
Mo 0.4278 0.4278 0.1443  1 Mo 2.26
Mo 0.5722 0.5722 0.8557  1 Mo 2.26
Na 0.7500 0.2500 0.5000  4 Na 2.50
Na 0.2500 0.7500 0.5000  4 Na 2.50
Ir 0.0000 0.0000 0.0000  8 Mo 2.75

***

A relaxed structure of NaMoIr2. Source: the Alexandria database, functional PBE.

Calculated values
SG = Fm-3m (225)
offset from the most stable computed form = 0.000 eV/atom
density of states at the Fermi level = 5.994 states/eV/f.u.

a = 4.4299 Å, b = 4.4299 Å, c = 4.4299 Å
α = 60.00°, β = 60.00°, γ = 60.00°
With the nearest neighbours (Å) after each atom.
Element x y z (fractional)
Ir 0.7500 0.7500 0.7500  4 Mo 2.71, 4 Na 2.71
Ir 0.2500 0.2500 0.2500  4 Mo 2.71, 4 Na 2.71
Mo 0.5000 0.5000 0.5000  8 Ir 2.71
Na 0.0000 0.0000 0.0000  8 Ir 2.71

***

no.,total DFT energy (no corrections) (eV per atom)
1,-9.962
2,-10.530
3,-10.910
4,-5.985
5,-7.044
6,-8.078
7,-4.218
8,-8.113
9,-4.402
10,-7.198
11,-6.833
12,-6.985
13,-5.937
14,-5.683
15,-7.110